Compound: NaCaScF6
Source: Alexandria
Functional: PBE
Structure: optimized geometry

a = 5.129 Å, b = 5.129 Å, c = 10.280 Å
α = 90.00°, β = 90.00°, γ = 90.00°
Fractional positions:
Na  0.000  0.000  0.000
Na  0.500  0.500  0.500
Ca  0.000  0.000  0.669
Ca  0.500  0.500  0.169
Sc  0.000  0.000  0.334
Sc  0.500  0.500  0.834
F  0.183  0.183  0.486
F  0.189  0.189  0.187
F  0.218  0.218  0.829
F  0.282  0.718  0.329
F  0.311  0.689  0.687
F  0.317  0.683  0.986
F  0.683  0.317  0.986
F  0.689  0.311  0.687
F  0.718  0.282  0.329
F  0.782  0.782  0.829
F  0.811  0.811  0.187
F  0.817  0.817  0.486

## Properties
E_form (uncorrected): -3.705 eV/atom
Fermi-level density of states: 0.0 states/eV/cell
Total DFT energy (no corrections): -6.025 eV/atom

---

Compound: Ca2BiIrC
Source: Alexandria
Functional: PBE
Structure: optimized geometry

a = 5.246 Å, b = 5.246 Å, c = 3.920 Å
α = 90.00°, β = 90.00°, γ = 90.00°
Fractional positions:
Ca  0.000  0.500  0.000
Ca  0.500  0.000  0.000
Bi  0.000  0.000  0.500
Ir  0.500  0.500  0.500
C  0.500  0.500  0.000

## Properties
Fermi-level density of states: 2.5 states/eV/cell
Formation enthalpy at 0 K: -0.348 eV per atom
Total DFT energy (no corrections): -5.542 eV/atom

---

Which of these has the highest Fermi-level density of states?
Ca2BiIrC

---

total DFT energy (no corrections) of number 1 (NaCaScF6)?
-6.025 eV/atom